Entry 1:
Material: YHoCo2
Method: DFT, GGA-PBE
State: optimized geometry

Values from the calculation:
excess energy over the best structure of this formula in the dataset	0	meV per atom
electronic total energy	-52.18	eV for the cell shown
formation enthalpy at 0 K	-0.21	eV/atom
DOS(E_F)	1.079	states/eV per atom
space group	No. 26

Cell: 3.8644 5.5285 7.4998 Å, 90.00 90.00 90.00°
Last column: nearest neighbours and their distance in Å.
Sites, in units of the cell vectors:
1 Y 0.0000 0.1342 0.6774  7 Co 2.89-3.05
2 Y 0.0000 0.8658 0.1774  7 Co 2.89-3.05
3 Ho 0.5000 0.3663 0.3214  7 Co 2.85-3.11
4 Ho 0.5000 0.6337 0.8214  7 Co 2.85-3.11
5 Co 0.0000 0.6479 0.5273  2 Co 2.25
6 Co 0.0000 0.3521 0.0273  2 Co 2.25
7 Co 0.5000 0.8435 0.4739  2 Co 2.25
8 Co 0.5000 0.1565 0.9739  2 Co 2.25

Entry 2:
Material: YHoZnCo
Method: DFT, GGA-PBE
State: optimized geometry

Values from the calculation:
excess energy over the best structure of this formula in the dataset	0	meV per atom
electronic total energy	-20.40	eV for the cell shown
formation enthalpy at 0 K	-0.24	eV/atom
DOS(E_F)	0.859	states/eV per atom
space group	No. 38

Cell: 3.8500 4.2061 5.6357 Å, 90.00 109.97 90.00°
Last column: nearest neighbours and their distance in Å.
Sites, in units of the cell vectors:
1 Y 0.1419 0.0000 0.2837  3 Co 2.93-3.08, 4 Zn 2.96
2 Ho 0.8597 0.5000 0.7195  3 Zn 2.91-3.12, 4 Co 2.95
3 Zn 0.5656 0.5000 0.1311  2 Co 2.53
4 Co 0.4329 0.0000 0.8657  2 Zn 2.53

Entry 3:
Material: YHoZnCo
Method: DFT, GGA-PBE
State: optimized geometry

Values from the calculation:
excess energy over the best structure of this formula in the dataset	11	meV per atom
electronic total energy	-20.36	eV for the cell shown
formation enthalpy at 0 K	-0.23	eV/atom
DOS(E_F)	0.729	states/eV per atom
space group	No. 216

Cell: 4.8676 4.8676 4.8676 Å, 60.00 60.00 60.00°
Last column: nearest neighbours and their distance in Å.
Sites, in units of the cell vectors:
1 Y 0.7500 0.7500 0.7500  4 Co 2.98, 4 Zn 2.98
2 Zn 0.0000 0.0000 0.0000  4 Y 2.98, 4 Ho 2.98
3 Co 0.5000 0.5000 0.5000  4 Ho 2.98, 4 Y 2.98
4 Ho 0.2500 0.2500 0.2500  4 Co 2.98, 4 Zn 2.98

Entry 4:
Material: Ho8Zn2Co
Method: DFT, GGA-PBE
State: optimized geometry

Values from the calculation:
electronic total energy	-47.77	eV for the cell shown
formation enthalpy at 0 K	-0.14	eV/atom
DOS(E_F)	0.800	states/eV per atom
space group	No. 12

Cell: 5.1253 6.6562 8.9697 Å, 106.02 106.60 90.00°
Last column: nearest neighbours and their distance in Å.
Sites, in units of the cell vectors:
1 Ho 0.4107 0.5697 0.8214  1 Co 2.83
2 Ho 0.6551 0.9615 0.3101  1 Co 2.75, 1 Zn 2.91
3 Ho 0.7993 0.6907 0.5986  1 Zn 2.84
4 Ho 0.9739 0.2135 0.9478  1 Zn 2.92, 2 Co 3.03, 1 Ho 3.22
5 Ho 0.2007 0.3093 0.4014  1 Zn 2.84
6 Ho 0.3449 0.0385 0.6899  1 Co 2.75, 1 Zn 2.91
7 Ho 0.5893 0.4303 0.1786  1 Co 2.83
8 Ho 0.0261 0.7865 0.0522  1 Zn 2.92, 2 Co 3.03, 1 Ho 3.22
9 Zn 0.8126 0.2756 0.6253  5 Ho 2.84-3.14
10 Zn 0.1874 0.7244 0.3747  5 Ho 2.84-3.14
11 Co 0.5000 0.0000 0.0000  8 Ho 2.75-3.03

Entry 5:
Material: Ho3Zn2Co7
Method: DFT, GGA-PBE
State: optimized geometry

Values from the calculation:
electronic total energy	-68.73	eV for the cell shown
formation enthalpy at 0 K	-0.23	eV/atom
DOS(E_F)	1.218	states/eV per atom
space group	No. 166

Cell: 5.0421 5.0421 8.6108 Å, 72.98 72.98 60.00°
Last column: nearest neighbours and their distance in Å.
Sites, in units of the cell vectors:
1 Ho 0.0000 0.0000 0.0000  6 Zn 2.91, 12 Co 3.25
2 Ho 0.8604 0.8604 0.4189  12 Co 2.86-3.03, 3 Ho 3.19
3 Ho 0.1396 0.1396 0.5811  12 Co 2.86-3.03, 3 Ho 3.19
4 Zn 0.6664 0.6664 0.0009  6 Co 2.51
5 Zn 0.3336 0.3336 0.9991  6 Co 2.51
6 Co 0.5000 0.5000 0.5000  6 Co 2.48
7 Co 0.9173 0.4152 0.2522  5 Co 2.48-2.53, 2 Zn 2.51
8 Co 0.4152 0.9173 0.2522  5 Co 2.48-2.53, 2 Zn 2.51
9 Co 0.4152 0.4152 0.2522  5 Co 2.48-2.53, 2 Zn 2.51
10 Co 0.0827 0.5848 0.7478  5 Co 2.48-2.53, 2 Zn 2.51
11 Co 0.5848 0.5848 0.7478  5 Co 2.48-2.53, 2 Zn 2.51
12 Co 0.5848 0.0827 0.7478  5 Co 2.48-2.53, 2 Zn 2.51

Entry 6:
Material: HoZnCo2
Method: DFT, GGA-PBE
State: optimized geometry

Values from the calculation:
electronic total energy	-42.08	eV for the cell shown
formation enthalpy at 0 K	-0.24	eV/atom
DOS(E_F)	1.133	states/eV per atom
space group	No. 51

Cell: 3.9378 4.8708 6.7607 Å, 90.00 90.00 90.00°
Last column: nearest neighbours and their distance in Å.
Sites, in units of the cell vectors:
1 Ho 0.0000 0.2500 0.6957  3 Co 2.69-2.82
2 Ho 0.0000 0.7500 0.3043  3 Co 2.69-2.82
3 Zn 0.5000 0.7500 0.6582  4 Co 2.59-2.61
4 Zn 0.5000 0.2500 0.3418  4 Co 2.59-2.61
5 Co 0.0000 0.7500 0.9060  4 Co 2.40, 2 Zn 2.59
6 Co 0.0000 0.2500 0.0940  4 Co 2.40, 2 Zn 2.59
7 Co 0.5000 0.0000 0.0000  6 Co 2.40-2.44, 2 Zn 2.61
8 Co 0.5000 0.5000 0.0000  6 Co 2.40-2.44, 2 Zn 2.61

Entry 7:
Material: HoZnCo2
Method: DFT, GGA-PBE
State: optimized geometry

Values from the calculation:
electronic total energy	-79.30	eV for the cell shown
formation enthalpy at 0 K	0.06	eV/atom
DOS(E_F)	0.981	states/eV per atom
space group	No. 51

Cell: 4.7003 5.2414 11.6673 Å, 90.00 90.00 90.00°
Last column: nearest neighbours and their distance in Å.
Sites, in units of the cell vectors:
1 Ho 0.0000 0.2500 0.5916  2 Zn 2.86, 4 Co 2.90
2 Ho 0.5000 0.7500 0.1085  10 Co 2.86-2.99
3 Ho 0.0000 0.7500 0.4084  2 Zn 2.86, 4 Co 2.90
4 Ho 0.5000 0.2500 0.8915  10 Co 2.86-2.99
5 Zn 0.5000 0.7500 0.6792  2 Zn 2.35, 4 Co 2.47-2.51
6 Zn 0.5000 0.2500 0.3208  2 Zn 2.35, 4 Co 2.47-2.51
7 Zn 0.0000 0.2500 0.3096  2 Zn 2.35, 2 Co 2.43
8 Zn 0.0000 0.7500 0.6904  2 Zn 2.35, 2 Co 2.43
9 Co 0.0000 0.0000 0.0000  6 Co 2.34-2.62
10 Co 0.5000 0.5000 0.5000  2 Zn 2.47, 2 Co 2.62
11 Co 0.2598 0.7500 0.8709  4 Co 2.26-2.44, 2 Zn 2.43-2.51
12 Co 0.7402 0.2500 0.1291  4 Co 2.26-2.44, 2 Zn 2.43-2.51
13 Co 0.7402 0.7500 0.8709  4 Co 2.26-2.44, 2 Zn 2.43-2.51
14 Co 0.2598 0.2500 0.1291  4 Co 2.26-2.44, 2 Zn 2.43-2.51
15 Co 0.0000 0.5000 0.0000  6 Co 2.34-2.62
16 Co 0.5000 0.0000 0.5000  2 Zn 2.47, 2 Co 2.62

Entry 8:
Material: Ho4ZnCo3
Method: DFT, GGA-PBE
State: optimized geometry

Values from the calculation:
electronic total energy	-42.71	eV for the cell shown
formation enthalpy at 0 K	-0.23	eV/atom
DOS(E_F)	1.009	states/eV per atom
space group	No. 25

Cell: 3.9777 4.0175 10.3181 Å, 90.00 90.00 90.00°
Last column: nearest neighbours and their distance in Å.
Sites, in units of the cell vectors:
1 Zn 0.5000 0.5000 0.0657  2 Co 2.46
2 Co 0.0000 0.5000 0.5558  2 Co 2.30
3 Co 0.0000 0.0000 0.4478  2 Co 2.30
4 Co 0.5000 0.0000 0.9284  2 Zn 2.46
5 Ho 0.5000 0.5000 0.3662  6 Co 2.79-2.95, 1 Zn 3.10
6 Ho 0.0000 0.5000 0.8498  5 Co 2.94-3.03, 2 Zn 2.99
7 Ho 0.0000 0.0000 0.1428  4 Zn 2.94, 3 Co 2.97-3.15
8 Ho 0.5000 0.0000 0.6435  7 Co 2.83-2.97

Entry 9:
Material: Ho3ZnCo
Method: DFT, GGA-PBE
State: optimized geometry

Values from the calculation:
excess energy over the best structure of this formula in the dataset	86	meV per atom
electronic total energy	-45.59	eV for the cell shown
formation enthalpy at 0 K	-0.14	eV/atom
DOS(E_F)	0.751	states/eV per atom
space group	No. 65

Cell: 3.6863 8.5091 8.5085 Å, 69.13 90.00 90.00°
Last column: nearest neighbours and their distance in Å.
Sites, in units of the cell vectors:
1 Ho 0.8633 0.3776 0.8204  2 Co 2.63
2 Ho 0.8633 0.0107 0.6726  2 Co 2.63
3 Ho 0.8629 0.6203 0.0629  2 Co 2.63
4 Ho 0.3634 0.0137 0.0660  2 Co 2.60
5 Ho 0.8628 0.7680 0.4299  2 Co 2.63
6 Ho 0.3634 0.3746 0.4269  2 Co 2.60
7 Zn 0.3632 0.6941 0.7464  8 Ho 3.14
8 Zn 0.8638 0.1943 0.2463  8 Ho 3.13-3.40
9 Co 0.3627 0.6941 0.2465  6 Ho 2.60-2.63
10 Co 0.3633 0.1941 0.7465  6 Ho 2.60-2.63

Entry 10:
Material: HoZn10Co2
Method: DFT, GGA-PBE
State: optimized geometry

Values from the calculation:
electronic total energy	-33.62	eV for the cell shown
formation enthalpy at 0 K	-0.16	eV/atom
DOS(E_F)	0.421	states/eV per atom
space group	No. 69

Cell: 4.9533 6.6975 6.7989 Å, 82.26 68.64 68.30°
Last column: nearest neighbours and their distance in Å.
Sites, in units of the cell vectors:
1 Ho 0.0000 0.0000 0.0000  16 Zn 3.09-3.40, 4 Co 3.35
2 Zn 0.3476 0.6377 0.6670  2 Co 2.59, 6 Zn 2.69-2.78
3 Zn 0.6524 0.3623 0.3330  2 Co 2.59, 6 Zn 2.69-2.78
4 Zn 0.9854 0.3623 0.6670  2 Co 2.59, 6 Zn 2.69-2.78
5 Zn 0.0146 0.6377 0.3330  2 Co 2.59, 6 Zn 2.69-2.78
6 Zn 0.0000 0.0000 0.5000  6 Zn 2.48-2.61
7 Zn 0.5000 0.0000 0.5000  6 Zn 2.48-2.61
8 Zn 0.2826 0.2238 0.2109  2 Co 2.50, 7 Zn 2.61-2.79
9 Zn 0.7174 0.7762 0.7891  2 Co 2.50, 7 Zn 2.61-2.79
10 Zn 0.5065 0.7762 0.2109  2 Co 2.50, 7 Zn 2.61-2.79
11 Zn 0.4935 0.2238 0.7891  2 Co 2.50, 7 Zn 2.61-2.79
12 Co 0.0000 0.5000 0.0000  2 Co 2.48, 8 Zn 2.50-2.59
13 Co 0.5000 0.5000 0.0000  2 Co 2.48, 8 Zn 2.50-2.59

Entry 11:
Material: Ho12Zn6Co
Method: DFT, GGA-PBE
State: optimized geometry

Values from the calculation:
electronic total energy	-71.89	eV for the cell shown
formation enthalpy at 0 K	-0.12	eV/atom
DOS(E_F)	0.905	states/eV per atom
space group	No. 148

Cell: 7.9251 7.9251 7.9251 Å, 93.65 93.65 93.65°
Last column: nearest neighbours and their distance in Å.
Sites, in units of the cell vectors:
1 Ho 0.8011 0.5727 0.4546  4 Zn 2.94-3.12
2 Ho 0.4546 0.8011 0.5727  4 Zn 2.94-3.12
3 Ho 0.5727 0.4546 0.8011  4 Zn 2.94-3.12
4 Ho 0.1989 0.4273 0.5454  4 Zn 2.94-3.12
5 Ho 0.5454 0.1989 0.4273  4 Zn 2.94-3.12
6 Ho 0.4273 0.5454 0.1989  4 Zn 2.94-3.12
7 Ho 0.9654 0.0901 0.3127  1 Co 2.57
8 Ho 0.9099 0.6873 0.0346  1 Co 2.57
9 Ho 0.6873 0.0346 0.9099  1 Co 2.57
10 Ho 0.0346 0.9099 0.6873  1 Co 2.57
11 Ho 0.0901 0.3127 0.9654  1 Co 2.57
12 Ho 0.3127 0.9654 0.0901  1 Co 2.57
13 Zn 0.6502 0.8579 0.2603  8 Ho 2.94-3.21
14 Zn 0.7397 0.3498 0.1421  8 Ho 2.94-3.21
15 Zn 0.1421 0.7397 0.3498  8 Ho 2.94-3.21
16 Zn 0.3498 0.1421 0.7397  8 Ho 2.94-3.21
17 Zn 0.2603 0.6502 0.8579  8 Ho 2.94-3.21
18 Zn 0.8579 0.2603 0.6502  8 Ho 2.94-3.21
19 Co 0.0000 0.0000 0.0000  6 Ho 2.57

Entry 12:
Material: Ho12ZnCo6
Method: DFT, GGA-PBE
State: optimized geometry

Values from the calculation:
electronic total energy	-102.89	eV for the cell shown
formation enthalpy at 0 K	-0.21	eV/atom
DOS(E_F)	0.813	states/eV per atom
space group	No. 204

Cell: 8.2767 8.2767 8.2767 Å, 109.47 109.47 109.47°
Last column: nearest neighbours and their distance in Å.
Sites, in units of the cell vectors:
1 Ho 0.3011 0.1074 0.8064  3 Co 2.64-2.87
2 Ho 0.3011 0.4947 0.1936  3 Co 2.64-2.87
3 Ho 0.6989 0.5053 0.8064  3 Co 2.64-2.87
4 Ho 0.6989 0.8926 0.1936  3 Co 2.64-2.87
5 Ho 0.1074 0.8064 0.3011  3 Co 2.64-2.87
6 Ho 0.4947 0.1936 0.3011  3 Co 2.64-2.87
7 Ho 0.5053 0.8064 0.6989  3 Co 2.64-2.87
8 Ho 0.8926 0.1936 0.6989  3 Co 2.64-2.87
9 Ho 0.8064 0.3011 0.1074  3 Co 2.64-2.87
10 Ho 0.1936 0.3011 0.4947  3 Co 2.64-2.87
11 Ho 0.8064 0.6989 0.5053  3 Co 2.64-2.87
12 Ho 0.1936 0.6989 0.8926  3 Co 2.64-2.87
13 Zn 0.0000 0.0000 0.0000  12 Ho 3.42
14 Co 0.3859 0.5000 0.8859  1 Co 2.18
15 Co 0.6141 0.5000 0.1141  1 Co 2.18
16 Co 0.5000 0.8859 0.3859  1 Co 2.18
17 Co 0.5000 0.1141 0.6141  1 Co 2.18
18 Co 0.8859 0.3859 0.5000  1 Co 2.18
19 Co 0.1141 0.6141 0.5000  1 Co 2.18